CrCu3As, relaxed, DFT PBE; symmetry = Pm-3m, No. 221; magnetic moment = 0.83 μB/atom; ΔH_f (0 K) = 1278.0 meV per atom; mass density = 5.60 Mg/m³; V = 18.82 A^3/atom; D(E_F) = 4.299 states/eV/f.u.
1.0
4.548 0.000 0.000
0.000 4.548 0.000
0.000 0.000 4.548
Cu Cr As
3 1 1
direct
0.000 0.000 0.500 Cu
0.000 0.500 0.000 Cu
0.500 0.000 0.000 Cu
0.000 0.000 0.000 Cr
0.500 0.500 0.500 As